(1)
Material: LaPm4Y15
Method: DFT, PBE-GGA
State: relaxed

Computed properties:
The calculation puts the total magnetization at 0.0 μB per cell. Its crystal system is tetragonal. The electronic total energy is -120.4 eV per formula unit.

Lattice parameters (Å, degrees): 5.0938 5.0938 25.3630 90.00 90.00 90.00
Space group P4/mmm (No. 123)
Inequivalent atoms, fractional coordinates:
La  0.0000  0.0000  0.0000 (multiplicity 1)
Pm  0.0000  0.0000  0.2004 (multiplicity 2)
Pm  0.0000  0.0000  0.4002 (multiplicity 2)
Y  0.0000  0.5000  0.1014 (multiplicity 4)
Y  0.0000  0.5000  0.3005 (multiplicity 4)
Y  0.0000  0.5000  0.5000 (multiplicity 2)
Y  0.5000  0.5000  0.0000 (multiplicity 1)
Y  0.5000  0.5000  0.2010 (multiplicity 2)
Y  0.5000  0.5000  0.4001 (multiplicity 2)

(2)
Material: Y6MgZn
Method: DFT, PBE-GGA
State: relaxed

Computed properties:
The calculation puts the total magnetization at 0.0 μB per cell. The value obtained for the energy above the most stable polymorph in this dataset is 0.0 meV per atom. Its crystal system is tetragonal. The electronic total energy is -42.3 eV per formula unit.

Lattice parameters (Å, degrees): 5.1253 5.1253 17.6171 90.00 90.00 90.00
Space group I4/mmm (No. 139)
Inequivalent atoms, fractional coordinates:
Y  0.0000  0.0000  0.2488 (multiplicity 4)
Y  0.0000  0.5000  0.1074 (multiplicity 8)
Mg  0.0000  0.0000  0.0000 (multiplicity 2)
Zn  0.0000  0.0000  0.5000 (multiplicity 2)

(3)
Material: PuCu3Ni2
Method: DFT, PBE-GGA
State: relaxed

Computed properties:
The calculation puts the total magnetization at 30.6 μB per cell. Its crystal system is trigonal. The electronic total energy is -37.1 eV per formula unit.

Lattice parameters (Å, degrees): 5.6193 5.6193 18.9191 90.00 90.00 120.00
Space group R-3m (No. 166, hexagonal axes)
Inequivalent atoms, fractional coordinates:
Pu  0.0000  0.0000  0.2259 (multiplicity 6)
Cu  0.0253  0.5126  0.2287 (multiplicity 18)
Ni  0.0000  0.0000  0.0000 (multiplicity 3)
Ni  0.0000  0.5000  0.0000 (multiplicity 9)